# 1
The following is a PBE calculation of a relaxed structure of RhAuNF2, from Alexandria.

```
RhAuNF2
1.0
4.633 0.000 0.000
0.000 4.633 0.000
0.000 0.000 3.746
Rh Au N F
1 1 1 2
direct
0.000 0.000 0.000 Rh
0.500 0.500 0.500 Au
0.500 0.500 0.000 N
0.000 0.500 0.500 F
0.500 0.000 0.500 F
```

## Properties
formation energy (no corrections): 738 meV/atom
SG: No. 123
energy above the lowest structure with this stoichiometry: 754.4 meV/atom
DFT total energy: -3.8010 eV per atom

=====

# 2
The following is a PBE calculation of a relaxed structure of Sm6SiP2Cl3, from Alexandria.

```
Sm6SiP2Cl3
1.0
9.088 -2.055 0.000
9.088 2.055 0.000
-2.072 0.000 8.102
Sm Si P Cl
6 1 2 3
direct
0.008 0.008 0.236 Sm
0.325 0.325 0.438 Sm
0.340 0.340 0.895 Sm
0.660 0.660 0.105 Sm
0.675 0.675 0.562 Sm
0.992 0.992 0.764 Sm
0.500 0.500 0.000 Si
0.167 0.167 0.334 P
0.833 0.833 0.666 P
0.166 0.166 0.832 Cl
0.500 0.500 0.500 Cl
0.834 0.834 0.168 Cl
```

## Properties
formation energy (no corrections): -1456 meV/atom
SG: No. 12
DFT total energy: -5.6307 eV per atom